Crystalline Rb4Cd3PbCl12 at its relaxed geometry, computed with PBE-GGA.

Output
- DFT total energy (eV per formula unit) = -61.4
- ρ (g cm⁻³) = 3.49
- size of the total moment (μB per formula unit) = 0.00
- formation energy (no corrections) (eV/atom) = -1.4459

Cell: 9.3267 9.3267 9.3267 Å, 109.47 109.47 109.47°
Last column: nearest neighbours and their distance in Å.
Fractional positions:
Cd: 0.0000 0.5000 0.5000  6 Cl 2.58-2.69
Cd: 0.5000 0.5000 0.0000  6 Cl 2.58-2.69
Cd: 0.5000 0.0000 0.5000  6 Cl 2.58-2.69
Pb: 0.0000 0.0000 0.0000  6 Cl 2.81
Rb: 0.5000 0.0000 0.0000  12 Cl 3.81
Rb: 0.0000 0.0000 0.5000  12 Cl 3.81
Rb: 0.0000 0.5000 0.0000  12 Cl 3.81
Rb: 0.5000 0.5000 0.5000  12 Cl 3.81
Cl: 0.2500 0.7500 0.5000  2 Cd 2.69
Cl: 0.0000 0.2607 0.2607  1 Cd 2.58, 1 Pb 2.81
Cl: 0.7393 0.0000 0.7393  1 Cd 2.58, 1 Pb 2.81
Cl: 0.2607 0.0000 0.2607  1 Cd 2.58, 1 Pb 2.81
Cl: 0.7500 0.2500 0.5000  2 Cd 2.69
Cl: 0.2500 0.5000 0.7500  2 Cd 2.69
Cl: 0.0000 0.7393 0.7393  1 Cd 2.58, 1 Pb 2.81
Cl: 0.7393 0.7393 0.0000  1 Cd 2.58, 1 Pb 2.81
Cl: 0.2607 0.2607 0.0000  1 Cd 2.58, 1 Pb 2.81
Cl: 0.5000 0.2500 0.7500  2 Cd 2.69
Cl: 0.7500 0.5000 0.2500  2 Cd 2.69
Cl: 0.5000 0.7500 0.2500  2 Cd 2.69